EuPuH3: relaxed, GGA-PBE. Values from VASP.

## Properties
Space-group type: Pm-3m (221)
Energy, eV per atom: -7.11

Structure (Quantum ESPRESSO input):
```
&SYSTEM
  ibrav = 0, nat = 5, ntyp = 3
/
ATOMIC_SPECIES
Eu 151.96 Eu.upf
Pu 244.00 Pu.upf
H 1.01 H.upf
CELL_PARAMETERS angstrom
4.295 0.000 0.000
0.000 4.295 0.000
0.000 0.000 4.295
ATOMIC_POSITIONS crystal
Eu 0.000 0.000 0.000
Pu 0.500 0.500 0.500
H 0.000 0.500 0.500
H 0.500 0.000 0.500
H 0.500 0.500 0.000
```